1.
A plane-wave DFT calculation with PBE was carried out for crystalline Nb2InHAu at its relaxed geometry.

Geometry as extended XYZ:
```
5
Lattice="4.0693 0.0000 0.0000 0.0000 4.0693 0.0000 0.0000 0.0000 4.6471" Properties=species:S:1:pos:R:3 pbc="T T T"
Nb 0.0000 2.0346 0.0000
Nb 2.0346 0.0000 0.0000
In 0.0000 0.0000 2.3236
H 2.0346 2.0346 0.0000
Au 2.0346 2.0346 2.3236
```

Space-group type: No. 123
Crystal system: tetragonal

2.
A plane-wave DFT calculation with PBE was carried out for crystalline InHPb2Au at its relaxed geometry.

Geometry as extended XYZ:
```
5
Lattice="5.8089 0.0000 0.0000 0.0000 5.8089 0.0000 0.0000 0.0000 3.5376" Properties=species:S:1:pos:R:3 pbc="T T T"
In 0.0000 0.0000 0.0000
H 2.9044 2.9044 0.0000
Pb 0.0000 2.9044 1.7688
Pb 2.9044 0.0000 1.7688
Au 2.9044 2.9044 1.7688
```

Space-group type: No. 123
Crystal system: tetragonal

3.
A plane-wave DFT calculation with PBE was carried out for crystalline InHPd2Au at its relaxed geometry.

Geometry as extended XYZ:
```
5
Lattice="4.0375 0.0000 0.0000 0.0000 4.0375 0.0000 0.0000 0.0000 4.4082" Properties=species:S:1:pos:R:3 pbc="T T T"
In 0.0000 0.0000 0.0000
H 0.0000 0.0000 2.2041
Pd 0.0000 2.0188 2.2041
Pd 2.0188 0.0000 2.2041
Au 2.0188 2.0188 0.0000
```

Space-group type: No. 123
Crystal system: tetragonal
Energy above the most stable polymorph in this dataset, meV per atom: 81

4.
A plane-wave DFT calculation with PBE was carried out for crystalline InHPd2Au at its relaxed geometry.

Geometry as extended XYZ:
```
5
Lattice="4.1314 0.0000 0.0000 0.0000 4.1314 0.0000 0.0000 0.0000 4.1823" Properties=species:S:1:pos:R:3 pbc="T T T"
In 0.0000 0.0000 0.0000
H 2.0657 2.0657 2.0912
Pd 0.0000 2.0657 2.0912
Pd 2.0657 0.0000 2.0912
Au 2.0657 2.0657 0.0000
```

Space-group type: No. 123
Crystal system: tetragonal
Energy above the most stable polymorph in this dataset, meV per atom: 0

5.
A plane-wave DFT calculation with PBE was carried out for crystalline In2HPd6Au at its relaxed geometry.

Geometry as extended XYZ:
```
10
Lattice="4.9331 0.0000 0.0000 1.6060 5.4128 0.0000 1.7495 1.2499 6.1159" Properties=species:S:1:pos:R:3 pbc="T T T"
In 1.7074 2.3692 1.7319
In 6.5813 4.2935 4.3840
H 0.0000 0.0000 0.0000
Pd 2.4034 5.1661 1.8850
Pd 4.1626 4.9364 5.4829
Pd 3.3994 2.1938 5.4667
Pd 4.8893 4.4689 0.6492
Pd 4.1261 1.7263 0.6330
Pd 5.8853 1.4966 4.2309
Au 4.1443 3.3314 3.0580
```

Space-group type: No. 2
Crystal system: triclinic

6.
A plane-wave DFT calculation with PBE was carried out for crystalline In2HPtAu at its relaxed geometry.

Geometry as extended XYZ:
```
5
Lattice="5.2980 0.0000 0.0000 0.0000 5.2980 0.0000 0.0000 0.0000 3.4906" Properties=species:S:1:pos:R:3 pbc="T T T"
In 0.0000 2.6490 0.0000
In 2.6490 0.0000 0.0000
H 0.0000 0.0000 1.7453
Pt 0.0000 0.0000 0.0000
Au 2.6490 2.6490 1.7453
```

Space-group type: No. 123
Crystal system: tetragonal

7.
A plane-wave DFT calculation with PBE was carried out for crystalline InHPtAu2 at its relaxed geometry.

Geometry as extended XYZ:
```
5
Lattice="4.6122 0.0000 0.0000 0.0000 4.6122 0.0000 0.0000 0.0000 3.6304" Properties=species:S:1:pos:R:3 pbc="T T T"
In 0.0000 0.0000 0.0000
H 2.3061 2.3061 1.8152
Pt 2.3061 2.3061 0.0000
Au 0.0000 2.3061 1.8152
Au 2.3061 0.0000 1.8152
```

Space-group type: No. 123
Crystal system: tetragonal

8.
A plane-wave DFT calculation with PBE was carried out for crystalline InHRhAu2 at its relaxed geometry.

Geometry as extended XYZ:
```
5
Lattice="4.4261 0.0000 0.0000 0.0000 4.4261 0.0000 0.0000 0.0000 3.7647" Properties=species:S:1:pos:R:3 pbc="T T T"
In 0.0000 0.0000 0.0000
H 2.2131 2.2131 1.8823
Rh 2.2131 2.2131 0.0000
Au 0.0000 2.2131 1.8823
Au 2.2131 0.0000 1.8823
```

Space-group type: No. 123
Crystal system: tetragonal

9.
A plane-wave DFT calculation with PBE was carried out for crystalline InHRh2Au at its relaxed geometry.

Geometry as extended XYZ:
```
5
Lattice="4.0101 0.0000 0.0000 0.0000 4.0101 0.0000 0.0000 0.0000 4.2698" Properties=species:S:1:pos:R:3 pbc="T T T"
In 0.0000 0.0000 0.0000
H 0.0000 0.0000 2.1349
Rh 0.0000 2.0051 2.1349
Rh 2.0051 0.0000 2.1349
Au 2.0051 2.0051 0.0000
```

Space-group type: No. 123
Crystal system: tetragonal
Energy above the most stable polymorph in this dataset, meV per atom: 103

10.
A plane-wave DFT calculation with PBE was carried out for crystalline InHRh2Au at its relaxed geometry.

Geometry as extended XYZ:
```
5
Lattice="4.1290 0.0000 0.0000 0.0000 4.1290 0.0000 0.0000 0.0000 4.0117" Properties=species:S:1:pos:R:3 pbc="T T T"
In 0.0000 0.0000 0.0000
H 2.0645 2.0645 2.0058
Rh 0.0000 2.0645 2.0058
Rh 2.0645 0.0000 2.0058
Au 2.0645 2.0645 0.0000
```

Space-group type: No. 123
Crystal system: tetragonal
Energy above the most stable polymorph in this dataset, meV per atom: 0

11.
A plane-wave DFT calculation with PBE was carried out for crystalline In2HRhAu at its relaxed geometry.

Geometry as extended XYZ:
```
5
Lattice="4.8200 0.0000 0.0000 0.0000 4.8200 0.0000 0.0000 0.0000 3.4181" Properties=species:S:1:pos:R:3 pbc="T T T"
In 0.0000 2.4100 0.0000
In 2.4100 0.0000 0.0000
H 0.0000 0.0000 0.0000
Rh 0.0000 0.0000 1.7091
Au 2.4100 2.4100 1.7091
```

Space-group type: No. 123
Crystal system: tetragonal

12.
A plane-wave DFT calculation with PBE was carried out for crystalline InSb2HAu at its relaxed geometry.

Geometry as extended XYZ:
```
5
Lattice="5.6878 0.0000 0.0000 0.0000 5.6878 0.0000 0.0000 0.0000 3.4250" Properties=species:S:1:pos:R:3 pbc="T T T"
In 0.0000 0.0000 0.0000
Sb 0.0000 2.8439 1.7125
Sb 2.8439 0.0000 1.7125
H 2.8439 2.8439 0.0000
Au 2.8439 2.8439 1.7125
```

Space-group type: No. 123
Crystal system: tetragonal

no.,uncorrected energy (eV/atom),calculated density (Mg/m³)
1,-6.00,10.76
2,-3.27,10.12
3,-4.11,12.15
4,-4.19,12.23
5,-4.58,10.84
6,-3.72,10.55
7,-3.69,15.16
8,-4.03,13.79
9,-4.82,12.54
10,-4.93,12.59
11,-3.96,11.09
12,-3.42,8.34